No. 1
An optimized crystal structure of CdFeSbPt. Source: the Open Quantum Materials Database, functional GGA-PBE.

Summary:
symmetry: F-43m, No. 216
ρ: 11455 kg/m³
E_tot: -4.77 eV/atom

```
CdFeSbPt
1.0
0.0000 3.2761 3.2761
3.2761 0.0000 3.2761
3.2761 3.2761 0.0000
Cd Fe Sb Pt
1 1 1 1
Direct
0.0000 0.0000 0.0000 Cd
0.7500 0.7500 0.7500 Fe
0.5000 0.5000 0.5000 Sb
0.2500 0.2500 0.2500 Pt
```

---

No. 2
An optimized crystal structure of CdFeSiPt. Source: the Open Quantum Materials Database, functional GGA-PBE.

Summary:
symmetry: F-43m, No. 216
ρ: 10890 kg/m³
E_tot: -5.14 eV/atom

```
CdFeSiPt
1.0
0.0000 3.1018 3.1018
3.1018 0.0000 3.1018
3.1018 3.1018 0.0000
Cd Fe Si Pt
1 1 1 1
Direct
0.0000 0.0000 0.0000 Cd
0.7500 0.7500 0.7500 Fe
0.5000 0.5000 0.5000 Si
0.2500 0.2500 0.2500 Pt
```

---

No. 3
An optimized crystal structure of PuCdFe. Source: the Open Quantum Materials Database, functional GGA-PBE.

Summary:
symmetry: F-43m, No. 216
ρ: 11437 kg/m³
E_form: 1.0 eV per formula unit

```
PuCdFe
1.0
0.0000 3.1048 3.1048
3.1048 0.0000 3.1048
3.1048 3.1048 0.0000
Pu Cd Fe
1 1 1
Direct
0.0000 0.0000 0.0000 Pu
0.5000 0.5000 0.5000 Cd
0.2500 0.2500 0.2500 Fe
```

---

No. 4
An optimized crystal structure of PuCdFe. Source: the Open Quantum Materials Database, functional GGA-PBE.

Summary:
symmetry: F-43m, No. 216
ρ: 10175 kg/m³
E_form: 5.3 eV per formula unit

```
PuCdFe
1.0
0.0000 3.2281 3.2281
3.2281 0.0000 3.2281
3.2281 3.2281 0.0000
Pu Cd Fe
1 1 1
Direct
0.0000 0.0000 0.0000 Pu
0.2500 0.2500 0.2500 Cd
0.7500 0.7500 0.7500 Fe
```

---

No. 5
An optimized crystal structure of RbCdFe. Source: the Open Quantum Materials Database, functional GGA-PBE.

Summary:
symmetry: F-43m, No. 216
ρ: 4198 kg/m³
E_tot: -2.42 eV/atom

```
RbCdFe
1.0
0.0000 3.6886 3.6886
3.6886 0.0000 3.6886
3.6886 3.6886 0.0000
Rb Cd Fe
1 1 1
Direct
0.0000 0.0000 0.0000 Rb
0.5000 0.5000 0.5000 Cd
0.7500 0.7500 0.7500 Fe
```

---

No. 6
An optimized crystal structure of CdFeRe2. Source: the Open Quantum Materials Database, functional GGA-PBE.

Summary:
symmetry: F-43m, No. 216
ρ: 14789 kg/m³
E_form: 2.3 eV per formula unit

```
CdFeRe2
1.0
0.0000 3.1194 3.1194
3.1194 0.0000 3.1194
3.1194 3.1194 0.0000
Cd Fe Re
1 1 2
Direct
0.0000 0.0000 0.0000 Cd
0.7500 0.7500 0.7500 Fe
0.2500 0.2500 0.2500 Re
0.5000 0.5000 0.5000 Re
```

---

No. 7
An optimized crystal structure of Cd2FeRe. Source: the Open Quantum Materials Database, functional GGA-PBE.

Summary:
symmetry: F-43m, No. 216
ρ: 12254 kg/m³
E_form: 3.0 eV per formula unit

```
Cd2FeRe
1.0
0.0000 3.1626 3.1626
3.1626 0.0000 3.1626
3.1626 3.1626 0.0000
Cd Fe Re
2 1 1
Direct
0.0000 0.0000 0.0000 Cd
0.2500 0.2500 0.2500 Cd
0.7500 0.7500 0.7500 Fe
0.5000 0.5000 0.5000 Re
```

---

No. 8
An optimized crystal structure of CdFeReSb. Source: the Open Quantum Materials Database, functional GGA-PBE.

Summary:
symmetry: F-43m, No. 216
ρ: 11924 kg/m³
E_tot: -5.77 eV/atom

```
CdFeReSb
1.0
0.0000 3.2126 3.2126
3.2126 0.0000 3.2126
3.2126 3.2126 0.0000
Cd Fe Re Sb
1 1 1 1
Direct
0.0000 0.0000 0.0000 Cd
0.7500 0.7500 0.7500 Fe
0.2500 0.2500 0.2500 Re
0.5000 0.5000 0.5000 Sb
```

---

No. 9
An optimized crystal structure of TlCdFeRe. Source: the Open Quantum Materials Database, functional GGA-PBE.

Summary:
symmetry: F-43m, No. 216
ρ: 13336 kg/m³
E_tot: -5.03 eV/atom

```
TlCdFeRe
1.0
0.0000 3.2646 3.2646
3.2646 0.0000 3.2646
3.2646 3.2646 0.0000
Tl Cd Fe Re
1 1 1 1
Direct
0.0000 0.0000 0.0000 Tl
0.5000 0.5000 0.5000 Cd
0.2500 0.2500 0.2500 Fe
0.7500 0.7500 0.7500 Re
```

---

No. 10
An optimized crystal structure of CdFeSnS3. Source: the Open Quantum Materials Database, functional GGA-PBE.

Summary:
symmetry: Cmcm, No. 63
ρ: 5029 kg/m³
E_tot: -4.54 eV/atom

```
CdFeSnS3
1.0
1.9152 -6.3981 0.0000
1.9152 6.3981 0.0000
0.0000 0.0000 10.3249
Cd Fe Sn S
2 2 2 6
Direct
0.0000 0.0000 0.0000 Cd
0.0000 0.0000 0.5000 Cd
0.4676 0.5324 0.7500 Fe
0.5324 0.4676 0.2500 Fe
0.2422 0.7578 0.2500 Sn
0.7578 0.2422 0.7500 Sn
0.0750 0.9250 0.7500 S
0.3598 0.6402 0.5729 S
0.3598 0.6402 0.9271 S
0.6402 0.3598 0.0729 S
0.6402 0.3598 0.4271 S
0.9250 0.0750 0.2500 S
```

---

No. 11
An optimized crystal structure of CdFeSnS3. Source: the Open Quantum Materials Database, functional GGA-PBE.

Summary:
symmetry: Cmcm, No. 63
ρ: 5135 kg/m³
E_tot: -4.56 eV/atom

```
CdFeSnS3
1.0
1.7628 -7.8733 0.0000
1.7628 7.8733 0.0000
0.0000 0.0000 8.9283
Cd Fe Sn S
2 2 2 6
Direct
0.1927 0.8073 0.7500 Cd
0.8073 0.1927 0.2500 Cd
0.5000 0.5000 0.0000 Fe
0.5000 0.5000 0.5000 Fe
0.1554 0.8446 0.2500 Sn
0.8446 0.1554 0.7500 Sn
0.0938 0.9062 0.5263 S
0.0938 0.9062 0.9737 S
0.4658 0.5342 0.7500 S
0.5342 0.4658 0.2500 S
0.9062 0.0938 0.0263 S
0.9062 0.0938 0.4737 S
```

---

No. 12
An optimized crystal structure of SrCdFeS3. Source: the Open Quantum Materials Database, functional GGA-PBE.

Summary:
symmetry: Cmcm, No. 63
ρ: 4469 kg/m³
E_tot: -4.77 eV/atom

```
SrCdFeS3
1.0
1.9764 -6.4836 0.0000
1.9764 6.4836 0.0000
0.0000 0.0000 10.2082
Sr Cd Fe S
2 2 2 6
Direct
0.2440 0.7560 0.7500 Sr
0.7560 0.2440 0.2500 Sr
0.5000 0.5000 0.0000 Cd
0.5000 0.5000 0.5000 Cd
0.0328 0.9672 0.2500 Fe
0.9672 0.0328 0.7500 Fe
0.1376 0.8624 0.0692 S
0.1376 0.8624 0.4308 S
0.4276 0.5724 0.2500 S
0.5724 0.4276 0.7500 S
0.8624 0.1376 0.5692 S
0.8624 0.1376 0.9308 S
```